Ca2ZrHg, relaxed, DFT GGA-PBEsol; M_tot = 0.01 μB per formula unit; space-group type = Immm (71); E_form = 75 meV per atom
1.0
3.722 0.000 0.000
0.000 5.139 0.000
-1.861 -2.570 5.437
Ca Hg Zr
2 1 1
direct
0.725 0.725 0.450
0.275 0.275 0.550
0.000 0.500 0.000
0.500 0.000 0.000

CaZr2Hg, relaxed, DFT GGA-PBEsol; M_tot = 0.00 μB per formula unit; space-group type = P4mm (99); E_form = -124 meV per atom
1.0
3.323 0.000 0.000
0.000 3.323 0.000
0.000 0.000 8.767
Ca Hg Zr
1 1 2
direct
0.000 0.000 0.527
0.500 0.500 0.769
0.000 0.000 0.989
0.500 0.500 0.215

CaZrHg2, relaxed, DFT GGA-PBEsol; M_tot = 0.70 μB per formula unit; space-group type = P4/mmm (123); E_form = -355 meV per atom
1.0
3.425 0.000 0.000
0.000 5.137 0.000
0.000 0.000 5.137
Ca Hg Zr
1 2 1
direct
0.500 0.000 0.000
0.000 0.000 0.500
0.000 0.500 0.000
0.500 0.500 0.500

CaZr2Hg, relaxed, DFT GGA-PBEsol; M_tot = 0.00 μB per formula unit; space-group type = Pmmm (47); E_form = 48 meV per atom
1.0
-0.077 2.589 -2.018
-3.217 -2.460 -3.033
-4.282 2.091 2.846
Ca Hg Zr
1 1 2
direct
0.500 0.000 0.500
0.000 0.500 0.500
0.000 0.000 0.000
0.500 0.500 0.000

CaZrHg2, relaxed, DFT GGA-PBEsol; M_tot = 0.00 μB per formula unit; space-group type = P4/mmm (123); E_form = -388 meV per atom
1.0
-1.129 -0.382 -3.285
1.504 -3.151 -0.150
-6.314 -3.134 2.535
Ca Hg Zr
1 2 1
direct
0.500 0.500 0.500
0.000 0.000 0.771
0.000 0.000 0.229
0.500 0.500 0.000

Ca3HoMn4O12, relaxed, DFT GGA-PBEsol; formation energy without anion corrections = -2435 meV per atom; M_tot = 12.86 μB per formula unit; space-group type = Pm (6)
1.0
5.226 0.012 0.000
0.010 5.340 0.000
0.000 0.000 7.413
Ca Ho Mn O
3 1 4 12
direct
0.990 0.048 0.500
0.491 0.455 0.000
0.012 0.952 0.000
0.512 0.559 0.500
0.002 0.499 0.751
0.499 0.004 0.249
0.002 0.499 0.249
0.499 0.004 0.751
0.424 0.979 0.500
0.089 0.483 0.500
0.578 0.016 0.000
0.925 0.519 0.000
0.785 0.783 0.702
0.703 0.296 0.296
0.205 0.207 0.211
0.297 0.705 0.782
0.205 0.207 0.789
0.297 0.705 0.218
0.785 0.783 0.298
0.703 0.296 0.704